1.
! Hf2Zn2Pd5 (PBE-GGA, optimized geometry); values from VASP
! * Fermi-level density of states: 7.7 states/eV per cell
! * formation energy from the elements: -0.403 eV/atom
! * total moment: 0.00 μB per formula unit
! * raw total energy: -5.7834 eV per atom
&SYSTEM
  ibrav = 0, nat = 18, ntyp = 3
/
ATOMIC_SPECIES
Hf 178.49 Hf.upf
Zn 65.41 Zn.upf
Pd 106.42 Pd.upf
CELL_PARAMETERS angstrom
-6.775 3.748 3.080
6.775 -3.748 3.080
6.775 3.748 -3.080
ATOMIC_POSITIONS angstrom
Hf 1.678 0.161 0.000
Hf 5.096 0.161 0.000
Hf 1.678 3.586 3.080
Hf 5.096 3.586 3.080
Zn 3.387 -0.138 2.278
Zn 3.387 3.886 -0.802
Zn 0.000 3.748 0.747
Zn 0.000 0.000 3.827
Pd 6.385 2.278 -1.224
Pd 7.165 -1.470 1.856
Pd -2.082 2.264 0.954
Pd 8.857 2.264 0.954
Pd 0.390 1.470 1.856
Pd 6.385 1.470 1.856
Pd 3.387 2.292 1.281
Pd 2.082 5.231 0.954
Pd -2.082 1.484 4.035
Pd 3.387 1.456 4.362

2.
! Hf2Zn2Pd (PBE-GGA, optimized geometry); values from VASP
! * E above lowest polymorph: 34 meV per atom
! * Fermi-level density of states: 9.9 states/eV per cell
! * formation energy from the elements: -0.316 eV/atom
! * total moment: 0.00 μB per formula unit
! * raw total energy: -5.8456 eV per atom
&SYSTEM
  ibrav = 0, nat = 10, ntyp = 3
/
ATOMIC_SPECIES
Hf 178.49 Hf.upf
Zn 65.41 Zn.upf
Pd 106.42 Pd.upf
CELL_PARAMETERS angstrom
4.253 0.000 0.000
0.000 13.540 0.000
0.000 0.000 2.997
ATOMIC_POSITIONS angstrom
Hf 0.000 1.517 0.000
Hf 0.000 12.022 0.000
Hf 2.127 5.253 0.000
Hf 2.127 8.287 0.000
Zn 0.000 4.060 1.498
Zn 0.000 9.480 1.498
Zn 2.127 2.710 1.498
Zn 2.127 10.829 1.498
Pd 0.000 6.770 1.498
Pd 2.127 0.000 1.498

3.
! Hf2Zn3Pd4 (PBE-GGA, optimized geometry); values from VASP
! * E above lowest polymorph: 0 meV per atom
! * Fermi-level density of states: 2.9 states/eV per cell
! * formation energy from the elements: -0.607 eV/atom
! * total moment: 0.00 μB per formula unit
! * raw total energy: -5.5514 eV per atom
&SYSTEM
  ibrav = 0, nat = 9, ntyp = 3
/
ATOMIC_SPECIES
Hf 178.49 Hf.upf
Zn 65.41 Zn.upf
Pd 106.42 Pd.upf
CELL_PARAMETERS angstrom
4.044 0.000 0.000
-2.010 4.349 0.000
-0.026 -2.404 8.198
ATOMIC_POSITIONS angstrom
Hf 0.003 1.015 1.823
Hf 2.006 0.930 6.375
Zn -0.015 -0.012 4.571
Zn 2.022 0.000 0.000
Zn 2.024 1.957 3.627
Pd -0.020 -0.758 7.297
Pd -0.010 2.582 5.446
Pd 2.018 -0.637 2.752
Pd 2.029 2.703 0.901

4.
! Hf2Zn6Pd (PBE-GGA, optimized geometry); values from VASP
! * Fermi-level density of states: 6.6 states/eV per cell
! * formation energy from the elements: -0.215 eV/atom
! * total moment: 0.00 μB per formula unit
! * raw total energy: -3.8530 eV per atom
&SYSTEM
  ibrav = 0, nat = 9, ntyp = 3
/
ATOMIC_SPECIES
Hf 178.49 Hf.upf
Zn 65.41 Zn.upf
Pd 106.42 Pd.upf
CELL_PARAMETERS angstrom
5.426 0.000 0.000
-2.713 4.699 0.000
0.000 0.000 5.752
ATOMIC_POSITIONS angstrom
Hf 0.000 3.133 0.709
Hf 2.713 1.566 5.043
Zn 0.000 1.667 3.856
Zn -1.269 3.866 3.856
Zn 1.443 0.833 1.896
Zn 1.269 3.866 3.856
Zn 3.982 0.833 1.896
Zn 2.713 3.032 1.896
Pd 0.000 0.000 0.000

5.
! Hf3Zn7Pd2 (PBE-GGA, optimized geometry); values from VASP
! * Fermi-level density of states: 9.1 states/eV per cell
! * formation energy from the elements: -0.293 eV/atom
! * total moment: 1.64 μB per formula unit
! * raw total energy: -4.3902 eV per atom
&SYSTEM
  ibrav = 0, nat = 12, ntyp = 3
/
ATOMIC_SPECIES
Hf 178.49 Hf.upf
Zn 65.41 Zn.upf
Pd 106.42 Pd.upf
CELL_PARAMETERS angstrom
2.585 1.492 8.462
-2.585 1.492 8.462
0.000 -2.985 8.462
ATOMIC_POSITIONS angstrom
Hf 0.000 0.000 0.000
Hf 0.000 0.000 3.675
Hf 0.000 0.000 21.711
Zn -1.314 -0.759 10.616
Zn 0.000 -1.517 14.770
Zn -1.314 0.759 14.770
Zn 0.000 0.000 12.693
Zn 1.314 -0.759 10.616
Zn 0.000 1.517 10.616
Zn 1.314 0.759 14.770
Pd 0.000 0.000 8.492
Pd 0.000 0.000 16.894

6.
! HfZn4Pd (PBE-GGA, optimized geometry); values from VASP
! * E above lowest polymorph: 114 meV per atom
! * Fermi-level density of states: 6.5 states/eV per cell
! * formation energy from the elements: -0.197 eV/atom
! * total moment: 0.92 μB per formula unit
! * raw total energy: -3.5706 eV per atom
&SYSTEM
  ibrav = 0, nat = 6, ntyp = 3
/
ATOMIC_SPECIES
Hf 178.49 Hf.upf
Zn 65.41 Zn.upf
Pd 106.42 Pd.upf
CELL_PARAMETERS angstrom
0.000 3.597 3.597
3.597 0.000 3.597
3.597 3.597 0.000
ATOMIC_POSITIONS angstrom
Hf 0.000 0.000 0.000
Zn 2.696 2.696 2.696
Zn 4.497 4.497 2.696
Zn 4.497 2.696 4.497
Zn 2.696 4.497 4.497
Pd 5.395 5.395 5.395

7.
! Hf4ZnPd (PBE-GGA, optimized geometry); values from VASP
! * Fermi-level density of states: 15.7 states/eV per cell
! * formation energy from the elements: -0.269 eV/atom
! * total moment: 0.00 μB per formula unit
! * raw total energy: -7.9829 eV per atom
&SYSTEM
  ibrav = 0, nat = 12, ntyp = 3
/
ATOMIC_SPECIES
Hf 178.49 Hf.upf
Zn 65.41 Zn.upf
Pd 106.42 Pd.upf
CELL_PARAMETERS angstrom
6.687 0.000 0.000
0.000 6.687 0.000
0.000 0.000 5.290
ATOMIC_POSITIONS angstrom
Hf 1.041 2.295 0.000
Hf 1.041 4.392 2.645
Hf 2.295 1.041 2.645
Hf 2.295 5.645 0.000
Hf 4.392 1.041 0.000
Hf 4.392 5.645 2.645
Hf 5.645 2.295 2.645
Hf 5.645 4.392 0.000
Zn 3.343 3.343 1.322
Zn 3.343 3.343 3.967
Pd 0.000 0.000 1.322
Pd 0.000 0.000 3.967

8.
! HfZnPd2 (PBE-GGA, optimized geometry); values from VASP
! * Fermi-level density of states: 2.8 states/eV per cell
! * formation energy from the elements: -0.537 eV/atom
! * total moment: 0.00 μB per formula unit
! * raw total energy: -5.9406 eV per atom
&SYSTEM
  ibrav = 0, nat = 4, ntyp = 3
/
ATOMIC_SPECIES
Hf 178.49 Hf.upf
Zn 65.41 Zn.upf
Pd 106.42 Pd.upf
CELL_PARAMETERS angstrom
4.595 0.000 0.000
0.000 4.595 0.000
0.000 0.000 3.129
ATOMIC_POSITIONS angstrom
Hf 0.000 0.000 0.000
Zn 2.298 2.298 0.000
Pd 0.000 2.298 1.565
Pd 2.298 0.000 1.565

9.
! Hf2ZnPd (PBE-GGA, optimized geometry); values from VASP
! * Fermi-level density of states: 3.1 states/eV per cell
! * formation energy from the elements: -0.404 eV/atom
! * total moment: 0.00 μB per formula unit
! * raw total energy: -6.9974 eV per atom
&SYSTEM
  ibrav = 0, nat = 4, ntyp = 3
/
ATOMIC_SPECIES
Hf 178.49 Hf.upf
Zn 65.41 Zn.upf
Pd 106.42 Pd.upf
CELL_PARAMETERS angstrom
3.375 0.000 0.000
0.000 3.375 0.000
0.000 0.000 6.382
ATOMIC_POSITIONS angstrom
Hf 0.000 0.000 1.591
Hf 0.000 0.000 4.791
Zn 1.688 1.688 0.000
Pd 1.688 1.688 3.191

10.
! HfZn2Pd2 (PBE-GGA, optimized geometry); values from VASP
! * E above lowest polymorph: 119 meV per atom
! * Fermi-level density of states: 5.7 states/eV per cell
! * formation energy from the elements: -0.395 eV/atom
! * total moment: 0.00 μB per formula unit
! * raw total energy: -4.9728 eV per atom
&SYSTEM
  ibrav = 0, nat = 10, ntyp = 3
/
ATOMIC_SPECIES
Hf 178.49 Hf.upf
Zn 65.41 Zn.upf
Pd 106.42 Pd.upf
CELL_PARAMETERS angstrom
14.265 0.000 0.000
0.000 3.946 0.000
-0.597 0.000 2.883
ATOMIC_POSITIONS angstrom
Hf 0.000 0.000 0.000
Hf 7.133 1.973 0.000
Zn 1.271 1.973 1.769
Zn 5.264 0.000 1.114
Zn 8.404 0.000 1.769
Zn 12.397 1.973 1.114
Pd 2.612 0.000 0.547
Pd 3.924 1.973 2.335
Pd 9.744 1.973 0.547
Pd 11.056 0.000 2.335

11.
! Hf3Zn4Pd2 (PBE-GGA, optimized geometry); values from VASP
! * Fermi-level density of states: 4.8 states/eV per cell
! * formation energy from the elements: -0.425 eV/atom
! * total moment: 0.00 μB per formula unit
! * raw total energy: -5.4627 eV per atom
&SYSTEM
  ibrav = 0, nat = 9, ntyp = 3
/
ATOMIC_SPECIES
Hf 178.49 Hf.upf
Zn 65.41 Zn.upf
Pd 106.42 Pd.upf
CELL_PARAMETERS angstrom
4.894 -2.246 0.000
4.894 2.246 0.000
-4.582 0.000 6.861
ATOMIC_POSITIONS angstrom
Hf 0.000 0.000 0.000
Hf 1.709 0.000 2.300
Hf 3.497 0.000 4.561
Zn -1.254 0.000 2.682
Zn -1.602 0.000 6.538
Zn 6.808 0.000 0.324
Zn 6.460 0.000 4.180
Pd 0.476 0.000 4.951
Pd 4.730 0.000 1.911

What is the formation energy from the elements in the sixth record?
-0.197 eV/atom

Copy entry 10 word for word.
! HfZn2Pd2 (PBE-GGA, optimized geometry); values from VASP
! * E above lowest polymorph: 119 meV per atom
! * Fermi-level density of states: 5.7 states/eV per cell
! * formation energy from the elements: -0.395 eV/atom
! * total moment: 0.00 μB per formula unit
! * raw total energy: -4.9728 eV per atom
&SYSTEM
  ibrav = 0, nat = 10, ntyp = 3
/
ATOMIC_SPECIES
Hf 178.49 Hf.upf
Zn 65.41 Zn.upf
Pd 106.42 Pd.upf
CELL_PARAMETERS angstrom
14.265 0.000 0.000
0.000 3.946 0.000
-0.597 0.000 2.883
ATOMIC_POSITIONS angstrom
Hf 0.000 0.000 0.000
Hf 7.133 1.973 0.000
Zn 1.271 1.973 1.769
Zn 5.264 0.000 1.114
Zn 8.404 0.000 1.769
Zn 12.397 1.973 1.114
Pd 2.612 0.000 0.547
Pd 3.924 1.973 2.335
Pd 9.744 1.973 0.547
Pd 11.056 0.000 2.335

Please write out number 4 again, unchanged.
! Hf2Zn6Pd (PBE-GGA, optimized geometry); values from VASP
! * Fermi-level density of states: 6.6 states/eV per cell
! * formation energy from the elements: -0.215 eV/atom
! * total moment: 0.00 μB per formula unit
! * raw total energy: -3.8530 eV per atom
&SYSTEM
  ibrav = 0, nat = 9, ntyp = 3
/
ATOMIC_SPECIES
Hf 178.49 Hf.upf
Zn 65.41 Zn.upf
Pd 106.42 Pd.upf
CELL_PARAMETERS angstrom
5.426 0.000 0.000
-2.713 4.699 0.000
0.000 0.000 5.752
ATOMIC_POSITIONS angstrom
Hf 0.000 3.133 0.709
Hf 2.713 1.566 5.043
Zn 0.000 1.667 3.856
Zn -1.269 3.866 3.856
Zn 1.443 0.833 1.896
Zn 1.269 3.866 3.856
Zn 3.982 0.833 1.896
Zn 2.713 3.032 1.896
Pd 0.000 0.000 0.000